Record 1
Below is crystalline AcLu2Tl at its relaxed geometry, with properties calculated at the PBE-GGA level.

a b c (Å): 5.5760 5.5760 5.5760
angles (deg): 60.00 60.00 60.00
With the nearest neighbours (Å) after each atom.
Fractional coordinates of all 4 atoms:
1 Lu 0.2500 0.2500 0.2500  4 Ac 3.41, 4 Tl 3.41
2 Lu 0.7500 0.7500 0.7500  4 Tl 3.41, 4 Ac 3.41
3 Ac 0.0000 0.0000 0.0000  8 Lu 3.41
4 Tl 0.5000 0.5000 0.5000  8 Lu 3.41

Summary:
E_form	0.48	eV/f.u.
electronic total energy	-3.76	eV per atom
energy above the most stable polymorph in this dataset	0.239	eV/atom
space-group type	Fm-3m (225)

Record 2
Below is crystalline AcLu2Tl at its relaxed geometry, with properties calculated at the PBE-GGA level.

a b c (Å): 5.2839 5.2839 6.2809
angles (deg): 65.13 65.13 60.00
With the nearest neighbours (Å) after each atom.
Fractional coordinates of all 4 atoms:
1 Lu 0.2808 0.2808 0.1576  3 Tl 3.17, 3 Lu 3.51
2 Lu 0.7192 0.7192 0.8424  3 Tl 3.17, 3 Lu 3.51
3 Tl 0.0000 0.0000 0.0000  6 Lu 3.17
4 Ac 0.5000 0.5000 0.5000  8 Lu 3.58-3.61

Summary:
E_form	0.40	eV/f.u.
electronic total energy	-3.78	eV per atom
energy above the most stable polymorph in this dataset	0.220	eV/atom
space-group type	R-3m (166)

Record 3
Below is crystalline AcLuTl at its relaxed geometry, with properties calculated at the PBE-GGA level.

a b c (Å): 5.4167 5.4167 5.4167
angles (deg): 60.00 60.00 60.00
With the nearest neighbours (Å) after each atom.
Fractional coordinates of all 3 atoms:
1 Tl 0.2500 0.2500 0.2500  4 Ac 3.32, 4 Lu 3.32
2 Ac 0.5000 0.5000 0.5000  4 Tl 3.32
3 Lu 0.0000 0.0000 0.0000  4 Tl 3.32

Summary:
E_form	0.07	eV/f.u.
electronic total energy	-3.64	eV per atom
energy above the most stable polymorph in this dataset	0.194	eV/atom
space-group type	F-43m (216)